(a)
Density functional theory data (GGA-PBE) for an optimized crystal structure of KTeSe4.

Summary:
- Space group: F-43m, No. 216
- N(E_F): 3.69 states/eV per cell
- Size of the total moment: 0.00 μB per cell

a b c (Å): 5.945 5.945 5.945
angles (deg): 60.00 60.00 60.00
Sites, in units of the cell vectors:
K  0.000  0.000  0.000
Te  0.750  0.750  0.750
Se  0.870  0.377  0.377
Se  0.377  0.377  0.870
Se  0.377  0.870  0.377
Se  0.377  0.377  0.377


(b)
Density functional theory data (GGA-PBE) for an optimized crystal structure of KTeSe4.

Summary:
- Space group: C2/c, No. 15
- N(E_F): 2.69 states/eV per cell
- Size of the total moment: 0.00 μB per cell

a b c (Å): 9.151 8.730 8.638
angles (deg): 124.62 126.13 83.18
Sites, in units of the cell vectors:
K  0.262  0.512  0.024
K  0.738  0.488  0.976
Te  0.200  0.950  0.899
Te  0.800  0.050  0.101
Se  0.909  0.133  0.736
Se  0.857  0.731  0.842
Se  0.327  0.603  0.736
Se  0.485  0.111  0.842
Se  0.515  0.889  0.158
Se  0.673  0.397  0.264
Se  0.143  0.269  0.158
Se  0.091  0.867  0.264


(c)
Density functional theory data (GGA-PBE) for an optimized crystal structure of KTeSe4.

Summary:
- Space group: C2/m, No. 12
- N(E_F): 2.73 states/eV per cell
- Size of the total moment: 0.00 μB per cell

a b c (Å): 5.569 5.568 6.703
angles (deg): 89.20 89.20 63.57
Sites, in units of the cell vectors:
K  0.500  0.500  0.500
Te  0.000  0.000  0.000
Se  0.625  0.625  0.011
Se  0.375  0.375  0.989
Se  0.100  0.100  0.607
Se  0.900  0.900  0.393


Order of stability, best first: (c), (b), (a)